(1)
First-principles (PBE-GGA) data for an optimized crystal structure of CrNiCl2, as listed in Alexandria.

Unit cell a=3.0986 b=3.0986 c=22.1373 alpha=90.00 beta=90.00 gamma=120.00
Space group R-3m (No. 166, hexagonal axes)
Asymmetric unit:
Cr (0.0000, 0.0000, 0.0000) [3 per cell]
Ni (0.0000, 0.0000, 0.5000) [3 per cell]
Cl (0.0000, 0.0000, 0.4031) [6 per cell]

Calculated values
**ΔE_f (raw)**: 12.1 kJ per mole of atoms
**Energy above the most stable polymorph in this dataset**: 414 meV per atom
**Spin magnetization**: 0.0 μB/cell

---

(2)
First-principles (PBE-GGA) data for an optimized crystal structure of HfNpAu2, as listed in Alexandria.

Unit cell a=3.121 b=3.121 c=8.503 alpha=90.00 beta=90.00 gamma=90.00
Space group P4/mmm (No. 123)
Asymmetric unit:
Hf (0.000, 0.000, 0.000) [1 per cell]
Np (0.000, 0.000, 0.500) [1 per cell]
Au (0.500, 0.500, 0.227) [2 per cell]

Calculated values
**ΔH_f (0 K)**: -0.934 eV/f.u.
**Spin magnetization**: 4.4 μB/cell

---

(3)
First-principles (PBE-GGA) data for an optimized crystal structure of Y3P2PtRh9, as listed in Alexandria.

Unit cell a=5.8473 b=5.8473 c=9.4578 alpha=90.00 beta=90.00 gamma=120.00
Space group P-3m1 (No. 164)
Asymmetric unit:
Y (0.0000, 0.0000, 0.0000) [1 per cell]
Y (0.3333, 0.6667, 0.6113) [2 per cell]
P (0.3333, 0.6667, 0.1571) [2 per cell]
Pt (0.0000, 0.0000, 0.5000) [1 per cell]
Rh (0.0000, 0.5000, 0.0000) [3 per cell]
Rh (0.1526, 0.3052, 0.2799) [6 per cell]

Calculated values
**ΔH_f (0 K)**: -7.958 eV/f.u.
**Spin magnetization**: 0.0 μB/cell

---

(4)
First-principles (PBE-GGA) data for an optimized crystal structure of FeNiPt2, as listed in Alexandria.

Unit cell a=2.721 b=3.693 c=5.480 alpha=90.00 beta=90.00 gamma=90.00
Space group Pmmm (No. 47)
Asymmetric unit:
Fe (0.000, 0.000, 0.000) [1 per cell]
Ni (0.000, 0.000, 0.500) [1 per cell]
Pt (0.500, 0.500, 0.252) [2 per cell]

Calculated values
**ΔH_f (0 K)**: -0.821 eV/f.u.
**Spin magnetization**: 4.4 μB/cell

---

(5)
First-principles (PBE-GGA) data for an optimized crystal structure of HfSc2RePt, as listed in Alexandria.

Unit cell a=4.846 b=4.846 c=5.073 alpha=90.00 beta=90.00 gamma=90.00
Space group P4/mmm (No. 123)
Asymmetric unit:
Hf (0.000, 0.000, 0.000) [1 per cell]
Sc (0.000, 0.500, 0.500) [2 per cell]
Re (0.500, 0.500, 0.000) [1 per cell]
Pt (0.000, 0.000, 0.500) [1 per cell]

Calculated values
**ΔH_f (0 K)**: 2.877 eV/f.u.
**Spin magnetization**: 0.8 μB/cell

---

(6)
First-principles (PBE-GGA) data for an optimized crystal structure of In6Br5Cl, as listed in Alexandria.

Unit cell a=8.126 b=14.110 c=8.131 alpha=90.00 beta=109.57 gamma=90.00
Space group C2/m (No. 12)
Asymmetric unit:
In (0.243, 0.000, 0.255) [4 per cell]
In (0.244, 0.163, 0.747) [8 per cell]
Br (0.000, 0.172, 0.000) [4 per cell]
Br (0.000, 0.336, 0.500) [4 per cell]
Br (0.000, 0.500, 0.000) [2 per cell]
Cl (0.000, 0.000, 0.500) [2 per cell]

Calculated values
**ΔE_f (raw)**: -64.5 kJ per mole of atoms
**Spin magnetization**: 0.0 μB/cell

---

(7)
First-principles (PBE-GGA) data for an optimized crystal structure of CrWAu, as listed in Alexandria.

Unit cell a=6.051 b=6.051 c=6.051 alpha=90.00 beta=90.00 gamma=90.00
Space group F-43m (No. 216)
Asymmetric unit:
Cr (0.000, 0.000, 0.000) [4 per cell]
W (0.250, 0.250, 0.250) [4 per cell]
Au (0.000, 0.000, 0.500) [4 per cell]

Calculated values
**ΔH_f (0 K)**: 3.298 eV/f.u.
**Energy above the most stable polymorph in this dataset**: 727 meV per atom
**Spin magnetization**: 3.5 μB/cell

---

(8)
First-principles (PBE-GGA) data for an optimized crystal structure of CaAcAgRu, as listed in Alexandria.

Unit cell a=7.375 b=7.375 c=7.375 alpha=90.00 beta=90.00 gamma=90.00
Space group F-43m (No. 216)
Asymmetric unit:
Ca (0.000, 0.000, 0.000) [4 per cell]
Ac (0.000, 0.000, 0.500) [4 per cell]
Ag (0.250, 0.250, 0.750) [4 per cell]
Ru (0.250, 0.250, 0.250) [4 per cell]

Calculated values
**ΔH_f (0 K)**: -0.113 eV/f.u.
**Spin magnetization**: 0.0 μB/cell

---

(9)
First-principles (PBE-GGA) data for an optimized crystal structure of OsAu2F, as listed in Alexandria.

Unit cell a=7.030 b=7.030 c=5.462 alpha=90.00 beta=90.00 gamma=90.00
Space group I-42d (No. 122)
Asymmetric unit:
Os (0.000, 0.000, 0.000) [4 per cell]
Au (0.232, 0.250, 0.625) [8 per cell]
F (0.000, 0.000, 0.500) [4 per cell]

Calculated values
**ΔE_f (raw)**: 61.4 kJ per mole of atoms
**Energy above the most stable polymorph in this dataset**: 71 meV per atom
**Spin magnetization**: 11.5 μB/cell

---

(10)
First-principles (PBE-GGA) data for an optimized crystal structure of CuMo3Br7, as listed in Alexandria.

Unit cell a=13.776 b=13.776 c=13.776 alpha=90.00 beta=90.00 gamma=90.00
Space group Pn-3 (No. 201, origin choice 2)
Asymmetric unit:
Cu (0.060, 0.060, 0.060) [8 per cell]
Mo (0.023, 0.529, 0.869) [24 per cell]
Br (0.060, 0.575, 0.685) [24 per cell]
Br (0.077, 0.625, 0.181) [24 per cell]
Br (0.135, 0.135, 0.365) [8 per cell]

Calculated values
**ΔE_f (raw)**: -58.0 kJ per mole of atoms
**Spin magnetization**: 0.5 μB/cell

---

(11)
First-principles (PBE-GGA) data for an optimized crystal structure of Nd2AlGe4Ir3, as listed in Alexandria.

Unit cell a=4.258 b=4.258 c=10.474 alpha=90.00 beta=90.00 gamma=90.00
Space group P-4m2 (No. 115)
Asymmetric unit:
Nd (0.000, 0.500, 0.242) [2 per cell]
Al (0.000, 0.000, 0.500) [1 per cell]
Ge (0.000, 0.000, 0.000) [1 per cell]
Ge (0.000, 0.500, 0.643) [2 per cell]
Ge (0.500, 0.500, 0.000) [1 per cell]
Ir (0.000, 0.500, 0.877) [2 per cell]
Ir (0.500, 0.500, 0.500) [1 per cell]

Calculated values
**ΔH_f (0 K)**: -7.021 eV/f.u.
**Spin magnetization**: 0.0 μB/cell

---

(12)
First-principles (PBE-GGA) data for an optimized crystal structure of NaLi2Ir, as listed in Alexandria.

Unit cell a=4.049 b=4.049 c=17.703 alpha=90.00 beta=90.00 gamma=90.00
Space group I-42d (No. 122)
Asymmetric unit:
Na (0.000, 0.000, 0.000) [4 per cell]
Li (0.201, 0.250, 0.625) [8 per cell]
Ir (0.000, 0.000, 0.500) [4 per cell]

Calculated values
**ΔH_f (0 K)**: 1.970 eV/f.u.
**Energy above the most stable polymorph in this dataset**: 432 meV per atom
**Spin magnetization**: 0.4 μB/cell